# 1
Below is a relaxed structure of DyAlFe2C, with properties calculated at the PBE level.

CIF file:
```
data_DyAlFe2C
_cell_length_a 3.899
_cell_length_b 10.523
_cell_length_c 6.830
_cell_angle_alpha 90.00
_cell_angle_beta 90.00
_cell_angle_gamma 90.00
_space_group_name_H-M_alt 'C m c m'
_space_group_IT_number 63
_space_group_name_Hall '-C 2c 2'
loop_
_atom_site_label
_atom_site_fract_x
_atom_site_fract_y
_atom_site_fract_z
_atom_site_occupancy
Dy1 0.000 0.050 0.250 1
Al1 0.000 0.232 0.750 1
Fe1 0.000 0.336 0.068 1
C1 0.000 0.500 0.000 1
```

Calculated values
energy	-7.17	eV per atom
E_form	-0.2670	eV per atom
magnetic moment	6.6	μB per cell

# 2
Below is a relaxed structure of Ba3Pu2N4O2, with properties calculated at the PBE level.

CIF file:
```
data_Ba3Pu2N4O2
_cell_length_a 4.324
_cell_length_b 4.324
_cell_length_c 22.328
_cell_angle_alpha 90.00
_cell_angle_beta 90.00
_cell_angle_gamma 90.00
_space_group_name_H-M_alt 'I 4/m m m'
_space_group_IT_number 139
_space_group_name_Hall '-I 4 2'
loop_
_atom_site_label
_atom_site_fract_x
_atom_site_fract_y
_atom_site_fract_z
_atom_site_occupancy
Ba1 0.000 0.000 0.000 1
Ba2 0.000 0.000 0.185 1
Pu1 0.000 0.000 0.402 1
N1 0.000 0.500 0.091 1
O1 0.000 0.000 0.306 1
```

Calculated values
energy	-8.55	eV per atom
magnetic moment	12.0	μB per cell
formation energy from raw total energies	-1.4924	eV/atom

# 3
Below is a relaxed structure of CeAlBi, with properties calculated at the PBE level.

CIF file:
```
data_CeAlBi
_cell_length_a 3.823
_cell_length_b 3.823
_cell_length_c 11.007
_cell_angle_alpha 90.00
_cell_angle_beta 90.00
_cell_angle_gamma 90.00
_space_group_name_H-M_alt 'I 4 m m'
_space_group_IT_number 107
_space_group_name_Hall 'I 4 -2'
loop_
_atom_site_label
_atom_site_fract_x
_atom_site_fract_y
_atom_site_fract_z
_atom_site_occupancy
Ce1 0.000 0.000 0.000 1
Al1 0.000 0.000 0.681 1
Bi1 0.000 0.000 0.306 1
```

Calculated values
energy	-4.73	eV per atom
E_form	-0.2063	eV per atom
magnetic moment	3.3	μB per cell

# 4
Below is a relaxed structure of AcNd2Mg4, with properties calculated at the PBE level.

CIF file:
```
data_AcNd2Mg4
_cell_length_a 6.204
_cell_length_b 6.204
_cell_length_c 11.931
_cell_angle_alpha 90.00
_cell_angle_beta 90.00
_cell_angle_gamma 90.00
_space_group_name_H-M_alt 'I 4/m m m'
_space_group_IT_number 139
_space_group_name_Hall '-I 4 2'
loop_
_atom_site_label
_atom_site_fract_x
_atom_site_fract_y
_atom_site_fract_z
_atom_site_occupancy
Ac1 0.000 0.000 0.000 1
Nd1 0.000 0.000 0.359 1
Mg1 0.000 0.500 0.000 1
Mg2 0.000 0.500 0.250 1
```

Calculated values
energy	-2.62	eV per atom
E_form	0.2426	eV per atom
magnetic moment	0.0	μB per cell